[1]
Below is an optimized crystal structure of Tb2Mn3Cu9P7, with properties calculated at the GGA-PBEsol level.

The structure in CIF format:
```
data_Tb2Mn3Cu9P7
_symmetry_space_group_name_H-M 'P -6'
_symmetry_Int_Tables_number 174
_symmetry_space_group_name_Hall 'P -6'
_cell_length_a 9.3309
_cell_length_b 9.3309
_cell_length_c 3.6897
_cell_angle_alpha 90.00
_cell_angle_beta 90.00
_cell_angle_gamma 120.00
loop_
_atom_site_label
_atom_site_type_symbol
_atom_site_fract_x
_atom_site_fract_y
_atom_site_fract_z
_atom_site_occupancy
Tb1 Tb 0.0000 0.0000 0.0000 1
Tb2 Tb 0.3333 0.6667 0.5000 1
Mn1 Mn 0.5340 0.4190 0.5000 1
Cu1 Cu 0.0518 0.2922 0.5000 1
Cu2 Cu 0.1002 0.7199 0.0000 1
Cu3 Cu 0.3878 0.1709 0.0000 1
P1 P 0.0757 0.4633 0.0000 1
P2 P 0.2531 0.2115 0.5000 1
P3 P 0.6667 0.3333 0.0000 1
```

Output
Its crystal system is hexagonal.

[2]
Below is an optimized crystal structure of Mn3CuPb, with properties calculated at the GGA-PBEsol level.

The structure in CIF format:
```
data_Mn3CuPb
_symmetry_space_group_name_H-M 'P m -3 m'
_symmetry_Int_Tables_number 221
_symmetry_space_group_name_Hall '-P 4 2 3'
_cell_length_a 5.034
_cell_length_b 5.034
_cell_length_c 5.034
_cell_angle_alpha 90.00
_cell_angle_beta 90.00
_cell_angle_gamma 90.00
loop_
_atom_site_label
_atom_site_type_symbol
_atom_site_fract_x
_atom_site_fract_y
_atom_site_fract_z
_atom_site_occupancy
Mn1 Mn 0.000 0.000 0.500 1
Cu1 Cu 0.500 0.500 0.500 1
Pb1 Pb 0.000 0.000 0.000 1
```

Output
Its crystal system is cubic.

[3]
Below is an optimized crystal structure of MnCuPb2, with properties calculated at the GGA-PBEsol level.

The structure in CIF format:
```
data_MnCuPb2
_symmetry_space_group_name_H-M 'R 3 m'
_symmetry_Int_Tables_number 160
_symmetry_space_group_name_Hall 'R 3 -2"'
_cell_length_a 3.3525
_cell_length_b 3.3525
_cell_length_c 26.3790
_cell_angle_alpha 90.00
_cell_angle_beta 90.00
_cell_angle_gamma 120.00
loop_
_atom_site_label
_atom_site_type_symbol
_atom_site_fract_x
_atom_site_fract_y
_atom_site_fract_z
_atom_site_occupancy
Mn1 Mn 0.0000 0.0000 0.0000 1
Cu1 Cu 0.0000 0.0000 0.2751 1
Pb1 Pb 0.0000 0.0000 0.5309 1
Pb2 Pb 0.0000 0.0000 0.7510 1
```

Output
Its crystal system is trigonal.

[4]
Below is an optimized crystal structure of MnCu2PdW, with properties calculated at the GGA-PBEsol level.

The structure in CIF format:
```
data_MnCu2PdW
_symmetry_space_group_name_H-M 'P 4/m m m'
_symmetry_Int_Tables_number 123
_symmetry_space_group_name_Hall '-P 4 2'
_cell_length_a 4.583
_cell_length_b 4.583
_cell_length_c 4.317
_cell_angle_alpha 90.00
_cell_angle_beta 90.00
_cell_angle_gamma 90.00
loop_
_atom_site_label
_atom_site_type_symbol
_atom_site_fract_x
_atom_site_fract_y
_atom_site_fract_z
_atom_site_occupancy
Mn1 Mn 0.000 0.000 0.000 1
Cu1 Cu 0.000 0.500 0.500 1
Pd1 Pd 0.500 0.500 0.000 1
W1 W 0.000 0.000 0.500 1
```

Output
Its crystal system is tetragonal.

[5]
Below is an optimized crystal structure of MnCuPt, with properties calculated at the GGA-PBEsol level.

The structure in CIF format:
```
data_MnCuPt
_symmetry_space_group_name_H-M 'F -4 3 m'
_symmetry_Int_Tables_number 216
_symmetry_space_group_name_Hall 'F -4 2 3'
_cell_length_a 5.701
_cell_length_b 5.701
_cell_length_c 5.701
_cell_angle_alpha 90.00
_cell_angle_beta 90.00
_cell_angle_gamma 90.00
loop_
_atom_site_label
_atom_site_type_symbol
_atom_site_fract_x
_atom_site_fract_y
_atom_site_fract_z
_atom_site_occupancy
Mn1 Mn 0.000 0.000 0.000 1
Cu1 Cu 0.250 0.250 0.250 1
Pt1 Pt 0.000 0.000 0.500 1
```

Output
Its crystal system is cubic.

[6]
Below is an optimized crystal structure of Mn2CuPt, with properties calculated at the GGA-PBEsol level.

The structure in CIF format:
```
data_Mn2CuPt
_symmetry_space_group_name_H-M 'F -4 3 m'
_symmetry_Int_Tables_number 216
_symmetry_space_group_name_Hall 'F -4 2 3'
_cell_length_a 5.941
_cell_length_b 5.941
_cell_length_c 5.941
_cell_angle_alpha 90.00
_cell_angle_beta 90.00
_cell_angle_gamma 90.00
loop_
_atom_site_label
_atom_site_type_symbol
_atom_site_fract_x
_atom_site_fract_y
_atom_site_fract_z
_atom_site_occupancy
Mn1 Mn 0.000 0.000 0.000 1
Mn2 Mn 0.250 0.250 0.250 1
Cu1 Cu 0.250 0.250 0.750 1
Pt1 Pt 0.000 0.000 0.500 1
```

Output
Its crystal system is cubic.

[7]
Below is an optimized crystal structure of MnCuPt2, with properties calculated at the GGA-PBEsol level.

The structure in CIF format:
```
data_MnCuPt2
_symmetry_space_group_name_H-M 'I -4 m 2'
_symmetry_Int_Tables_number 119
_symmetry_space_group_name_Hall 'I -4 -2'
_cell_length_a 3.736
_cell_length_b 3.736
_cell_length_c 7.829
_cell_angle_alpha 90.00
_cell_angle_beta 90.00
_cell_angle_gamma 90.00
loop_
_atom_site_label
_atom_site_type_symbol
_atom_site_fract_x
_atom_site_fract_y
_atom_site_fract_z
_atom_site_occupancy
Mn1 Mn 0.000 0.000 0.000 1
Cu1 Cu 0.000 0.500 0.250 1
Pt1 Pt 0.000 0.000 0.500 1
Pt2 Pt 0.000 0.500 0.750 1
```

Output
Its crystal system is tetragonal.

[8]
Below is an optimized crystal structure of Mn2CuPt, with properties calculated at the GGA-PBEsol level.

The structure in CIF format:
```
data_Mn2CuPt
_symmetry_space_group_name_H-M 'C m m m'
_symmetry_Int_Tables_number 65
_symmetry_space_group_name_Hall '-C 2 2'
_cell_length_a 5.404
_cell_length_b 7.175
_cell_length_c 2.752
_cell_angle_alpha 90.00
_cell_angle_beta 90.00
_cell_angle_gamma 90.00
loop_
_atom_site_label
_atom_site_type_symbol
_atom_site_fract_x
_atom_site_fract_y
_atom_site_fract_z
_atom_site_occupancy
Mn1 Mn 0.250 0.250 0.000 1
Cu1 Cu 0.000 0.000 0.500 1
Pt1 Pt 0.000 0.500 0.500 1
```

Output
Its crystal system is orthorhombic.

[9]
Below is an optimized crystal structure of Mn3CuPt, with properties calculated at the GGA-PBEsol level.

The structure in CIF format:
```
data_Mn3CuPt
_symmetry_space_group_name_H-M 'P m -3 m'
_symmetry_Int_Tables_number 221
_symmetry_space_group_name_Hall '-P 4 2 3'
_cell_length_a 4.775
_cell_length_b 4.775
_cell_length_c 4.775
_cell_angle_alpha 90.00
_cell_angle_beta 90.00
_cell_angle_gamma 90.00
loop_
_atom_site_label
_atom_site_type_symbol
_atom_site_fract_x
_atom_site_fract_y
_atom_site_fract_z
_atom_site_occupancy
Mn1 Mn 0.000 0.000 0.500 1
Cu1 Cu 0.500 0.500 0.500 1
Pt1 Pt 0.000 0.000 0.000 1
```

Output
Its crystal system is cubic.

[10]
Below is an optimized crystal structure of Mn2CuPt, with properties calculated at the GGA-PBEsol level.

The structure in CIF format:
```
data_Mn2CuPt
_symmetry_space_group_name_H-M 'P 4/m m m'
_symmetry_Int_Tables_number 123
_symmetry_space_group_name_Hall '-P 4 2'
_cell_length_a 2.841
_cell_length_b 2.841
_cell_length_c 6.632
_cell_angle_alpha 90.00
_cell_angle_beta 90.00
_cell_angle_gamma 90.00
loop_
_atom_site_label
_atom_site_type_symbol
_atom_site_fract_x
_atom_site_fract_y
_atom_site_fract_z
_atom_site_occupancy
Mn1 Mn 0.000 0.000 0.236 1
Cu1 Cu 0.500 0.500 0.000 1
Pt1 Pt 0.500 0.500 0.500 1
```

Output
Its crystal system is tetragonal.

[11]
Below is an optimized crystal structure of Mn2CuPt, with properties calculated at the GGA-PBEsol level.

The structure in CIF format:
```
data_Mn2CuPt
_symmetry_space_group_name_H-M 'P 4/m m m'
_symmetry_Int_Tables_number 123
_symmetry_space_group_name_Hall '-P 4 2'
_cell_length_a 3.887
_cell_length_b 3.887
_cell_length_c 3.547
_cell_angle_alpha 90.00
_cell_angle_beta 90.00
_cell_angle_gamma 90.00
loop_
_atom_site_label
_atom_site_type_symbol
_atom_site_fract_x
_atom_site_fract_y
_atom_site_fract_z
_atom_site_occupancy
Mn1 Mn 0.000 0.500 0.000 1
Cu1 Cu 0.000 0.000 0.500 1
Pt1 Pt 0.500 0.500 0.500 1
```

Output
Its crystal system is tetragonal.

[12]
Below is an optimized crystal structure of MnCuPt2, with properties calculated at the GGA-PBEsol level.

The structure in CIF format:
```
data_MnCuPt2
_symmetry_space_group_name_H-M 'C m m m'
_symmetry_Int_Tables_number 65
_symmetry_space_group_name_Hall '-C 2 2'
_cell_length_a 5.510
_cell_length_b 7.050
_cell_length_c 2.825
_cell_angle_alpha 90.00
_cell_angle_beta 90.00
_cell_angle_gamma 90.00
loop_
_atom_site_label
_atom_site_type_symbol
_atom_site_fract_x
_atom_site_fract_y
_atom_site_fract_z
_atom_site_occupancy
Mn1 Mn 0.000 0.000 0.000 1
Cu1 Cu 0.000 0.500 0.000 1
Pt1 Pt 0.250 0.250 0.500 1
```

Output
Its crystal system is orthorhombic.

Q: Which raw total energy values were calculated for the entries above? A: -6.113, -5.711, -5.069, -5.968, -6.741, -7.621, -7.190, -7.669, -6.854, -7.648, -7.669, -7.194, in eV per atom.
Q: Which ΔE_f values were calculated for the entries above? A: -919, 874, 175, 806, 81, 32, -71, 14, 609, 22, 14, -73, in kJ/mol of formula units.
Q: Which magnetization values were calculated for the entries above? A: 0.44, 2.54, 0.93, 0.33, 1.49, 1.76, 0.93, 1.88, 2.68, 1.96, 1.93, 1.07, in μB/atom.